Record 1
A relaxed structure of MnZnNi2, computed with GGA-PBEsol.

Properties
- Space group: No. 123
- Total DFT energy (no corrections): -24.1 eV for the cell shown

Unit cell a=3.2848 b=3.7552 c=3.7552 alpha=89.98 beta=90.00 gamma=90.00
Closest atoms and distances in Å follow each position.
Atoms (fractional coordinates):
Ni1 0.0000 0.0000 0.5000  4 Zn 2.49, 4 Mn 2.49, 4 Ni 2.65-2.66
Zn1 0.5000 0.0000 0.0000  8 Ni 2.49, 4 Mn 2.65-2.66
Mn1 0.5000 0.5000 0.5000  8 Ni 2.49, 4 Zn 2.65-2.66
Ni2 0.0000 0.5000 0.0000  4 Mn 2.49, 4 Zn 2.49, 4 Ni 2.65-2.66

---

Record 2
A relaxed structure of MnZn2Ni, computed with GGA-PBEsol.

Properties
- Space group: No. 139
- Total DFT energy (no corrections): -19.4 eV for the cell shown

Unit cell a=3.7947 b=4.3337 c=3.7947 alpha=64.04 beta=90.00 gamma=115.96
Closest atoms and distances in Å follow each position.
Atoms (fractional coordinates):
Zn1 0.2500 0.5000 0.2500  4 Mn 2.55, 4 Ni 2.55, 4 Zn 2.68
Zn2 0.7500 0.5000 0.7500  4 Mn 2.55, 4 Ni 2.55, 4 Zn 2.68
Mn1 0.5000 0.0000 0.5000  8 Zn 2.55, 4 Ni 2.68
Ni1 0.0000 0.0000 0.0000  8 Zn 2.55, 4 Mn 2.68

---

Record 3
A relaxed structure of Mn2ZnNi, computed with GGA-PBEsol.

Properties
- Space group: No. 119
- Total DFT energy (no corrections): -27.3 eV for the cell shown

Unit cell a=3.6267 b=3.6267 c=4.3928 alpha=114.38 beta=114.38 gamma=90.00
Closest atoms and distances in Å follow each position.
Atoms (fractional coordinates):
Mn1 0.0000 0.0000 0.0000  4 Mn 2.54, 4 Zn 2.54, 4 Ni 2.56
Zn1 0.2500 0.7500 0.5000  8 Mn 2.54-2.56, 4 Ni 2.54
Mn2 0.7500 0.2500 0.5000  4 Mn 2.54, 4 Ni 2.54, 4 Zn 2.56
Ni1 0.5000 0.5000 0.0000  4 Zn 2.54, 8 Mn 2.54-2.56